(1)
## MgIOF2 (SCAN)

Data for a crystal of MgIOF2 relaxed with PBEsol.

The structure in extended XYZ format:
```
5
Lattice="3.9854 0.0000 0.0000 0.0000 4.9085 0.0000 0.0000 0.0000 4.9085" Properties=species:S:1:pos:R:3 pbc="T T T"
I 0.0000 0.0000 0.0000
Mg 1.9927 2.4542 2.4542
O 1.9927 0.0000 0.0000
F 0.0000 0.0000 2.4542
F 0.0000 2.4542 0.0000
```

symmetry: P4/mmm (123)
volume: 96 Å³/cell
energy above the most stable polymorph in this dataset: 1241.0 meV/atom
energy: -11.57 eV/atom

***

(2)
## MnI2F (SCAN)

Data for a crystal of MnI2F relaxed with PBEsol.

The structure in extended XYZ format:
```
8
Lattice="6.3075 0.4750 0.6731 -2.7290 5.7064 -0.6731 -2.7290 -2.5467 5.1508" Properties=species:S:1:pos:R:3 pbc="T T T"
I -1.9726 3.3762 0.2231
I 4.1867 -0.5314 3.8082
I 1.0329 1.4653 1.8951
I -1.5478 2.9593 4.3751
Mn 0.0000 0.0000 0.0000
Mn 0.4248 3.8806 1.1194
F -2.7290 1.5799 2.2388
F 0.4248 -0.2459 4.0314
```

symmetry: I-42d (122)
volume: 197 Å³/cell
energy: -24.39 eV/atom